Entry 1:
DFT (PBE-GGA) results for crystalline Pm5Ga3H at its relaxed geometry.

Cell lengths 9.075, 9.075, 9.075 Å; angles 128.65, 128.65, 75.57 degrees
Positions (direct):
Pm 0.000 0.000 0.000
Pm 0.018 0.518 0.839
Pm 0.179 0.018 0.500
Pm 0.321 0.821 0.839
Pm 0.482 0.321 0.500
Pm 0.500 0.500 0.000
Pm 0.518 0.679 0.500
Pm 0.679 0.179 0.161
Pm 0.821 0.982 0.500
Pm 0.982 0.482 0.161
Ga 0.118 0.382 0.500
Ga 0.250 0.250 0.000
Ga 0.382 0.882 0.264
Ga 0.618 0.118 0.736
Ga 0.750 0.750 0.000
Ga 0.882 0.618 0.500
H 0.250 0.750 0.500
H 0.750 0.250 0.500

Calculated values
Calculated total energy: -4.5353 eV per atom
V: 24.64 Å³/atom
SG: I4/mcm, No. 140

Entry 2:
DFT (PBE-GGA) results for crystalline Pm6Ga2H at its relaxed geometry.

Cell lengths 6.426, 8.269, 11.007 Å; angles 90.00, 123.81, 90.00 degrees
Positions (direct):
Pm 0.096 0.159 0.448
Pm 0.096 0.341 0.948
Pm 0.315 0.699 0.444
Pm 0.315 0.801 0.944
Pm 0.344 0.035 0.228
Pm 0.344 0.465 0.728
Pm 0.656 0.535 0.272
Pm 0.656 0.965 0.772
Pm 0.685 0.199 0.056
Pm 0.685 0.301 0.556
Pm 0.904 0.659 0.052
Pm 0.904 0.841 0.552
Ga 0.192 0.119 0.762
Ga 0.192 0.381 0.262
Ga 0.808 0.619 0.738
Ga 0.808 0.881 0.238
H 0.500 0.000 0.500
H 0.500 0.500 0.000

Calculated values
Calculated total energy: -4.5144 eV per atom
V: 27.00 Å³/atom
SG: P2_1/c, No. 14